Compound: NaInP2Cl
Source: Alexandria
Functional: PBE
Structure: relaxed

Results
As for the density of states at the Fermi level: 3.0 states/eV per cell. The calculation puts the formation energy from raw total energies at 3.35 eV per formula unit. The value obtained for the excess energy over the best structure of this formula in the dataset is 461 meV/atom. The value obtained for the total magnetization is 2.5 Bohr magnetons per cell.

The structure in POSCAR format:
```
NaInP2Cl
1.0
-0.690 -4.438 2.585
4.830 0.327 1.851
-1.767 2.685 4.138
P Cl Na In
2 1 1 1
Direct
0.000 0.500 0.000
0.500 0.000 0.000
0.000 0.000 0.500
0.000 0.000 0.000
0.500 0.500 0.500
```


Compound: DyAlBi
Source: Alexandria
Functional: PBE
Structure: relaxed

Results
As for the density of states at the Fermi level: 2.2 states/eV per cell. For the energy, the calculation gives -4.44 eV per atom. The value obtained for the total magnetization is 0.0 Bohr magnetons per cell.

The structure in POSCAR format:
```
DyAlBi
1.0
4.330 0.000 0.000
0.000 4.330 0.000
0.000 0.000 8.512
Al Bi Dy
2 2 2
Direct
0.000 0.000 0.000
0.500 0.500 0.000
0.000 0.500 0.677
0.500 0.000 0.323
0.000 0.500 0.297
0.500 0.000 0.703
```


Compound: Ca6MgCu6
Source: Alexandria
Functional: PBE
Structure: relaxed

Results
As for the density of states at the Fermi level: 7.8 states/eV per cell. The value obtained for the excess energy over the best structure of this formula in the dataset is 188 meV/atom. The value obtained for the total magnetization is 0.0 Bohr magnetons per cell.

The structure in POSCAR format:
```
Ca6MgCu6
1.0
-6.171 3.399 -1.437
1.071 -2.917 6.485
3.159 6.810 2.542
Ca Mg Cu
6 1 6
Direct
0.000 0.500 0.251
0.500 0.500 0.251
0.500 0.000 0.251
0.500 0.500 0.749
0.000 0.500 0.749
0.500 0.000 0.749
0.000 0.000 0.000
0.000 0.000 0.342
0.000 0.000 0.658
0.667 0.333 0.000
0.333 0.667 0.000
0.667 0.333 0.500
0.333 0.667 0.500
```


What is the formula in the second record?
DyAlBi


Which value of density of states at the Fermi level does entry 1 give?
3.0 states/eV per cell


What is the density of states at the Fermi level in the third record?
7.8 states/eV per cell


Look up the density of states at the Fermi level of the second one.
2.2 states/eV per cell